# PBE V6Fe5, optimized geometry
data_V6Fe5
_symmetry_space_group_name_H-M 'I m m m'
_symmetry_Int_Tables_number 71
_symmetry_space_group_name_Hall '-I 2 2'
_cell_length_a 3.971
_cell_length_b 5.640
_cell_length_c 12.084
_cell_angle_alpha 90.00
_cell_angle_beta 90.00
_cell_angle_gamma 90.00
loop_
_atom_site_label
_atom_site_fract_x
_atom_site_fract_y
_atom_site_fract_z
V1 0.000 0.224 0.000
V2 0.000 0.260 0.343
Fe1 0.000 0.000 0.182
Fe2 0.000 0.000 0.500
Fe3 0.000 0.500 0.163
# Size of the total moment, μB/cell: 3.3
# Formation energy from the elements, eV per atom: -0.021
# Fermi-level density of states, states/eV per cell: 23.717

***

# PBE LiTa2RuC, optimized geometry
data_LiTa2RuC
_symmetry_space_group_name_H-M 'P 4/m m m'
_symmetry_Int_Tables_number 123
_symmetry_space_group_name_Hall '-P 4 2'
_cell_length_a 4.278
_cell_length_b 4.278
_cell_length_c 4.013
_cell_angle_alpha 90.00
_cell_angle_beta 90.00
_cell_angle_gamma 90.00
loop_
_atom_site_label
_atom_site_fract_x
_atom_site_fract_y
_atom_site_fract_z
Li1 0.000 0.000 0.000
Ta1 0.000 0.500 0.500
Ru1 0.500 0.500 0.000
C1 0.500 0.500 0.500
# Size of the total moment, μB/cell: 0.0
# Formation energy from the elements, eV per atom: 0.077
# Fermi-level density of states, states/eV per cell: 3.406

***

# PBE BeHg, optimized geometry
data_BeHg
_symmetry_space_group_name_H-M 'C 1 m 1'
_symmetry_Int_Tables_number 8
_cell_length_a 10.610
_cell_length_b 3.117
_cell_length_c 6.129
_cell_angle_alpha 90.00
_cell_angle_beta 104.84
_cell_angle_gamma 90.00
loop_
_symmetry_equiv_pos_as_xyz
'x,y,z'
'x,-y,z'
'x+1/2,y+1/2,z'
'x+1/2,-y+1/2,z'
loop_
_atom_site_label
_atom_site_fract_x
_atom_site_fract_y
_atom_site_fract_z
Be1 0.000 0.000 0.000
Be2 0.075 0.000 0.678
Be3 0.183 0.500 0.500
Hg1 0.196 0.500 0.081
Hg2 0.343 0.000 0.725
Hg3 0.455 0.000 0.312
# Size of the total moment, μB/cell: 0.0
# Formation energy from the elements, eV per atom: 0.494
# Fermi-level density of states, states/eV per cell: 1.865
# Energy above the most stable polymorph in this dataset, eV per atom: 0.1994

***

# PBE RbLi2Hg2, optimized geometry
data_RbLi2Hg2
_symmetry_space_group_name_H-M 'I 4/m m m'
_symmetry_Int_Tables_number 139
_symmetry_space_group_name_Hall '-I 4 2'
_cell_length_a 4.703
_cell_length_b 4.703
_cell_length_c 13.081
_cell_angle_alpha 90.00
_cell_angle_beta 90.00
_cell_angle_gamma 90.00
loop_
_atom_site_label
_atom_site_fract_x
_atom_site_fract_y
_atom_site_fract_z
Rb1 0.000 0.000 0.000
Li1 0.000 0.500 0.250
Hg1 0.000 0.000 0.377
# Size of the total moment, μB/cell: 0.0
# Formation energy from the elements, eV per atom: -0.183
# Fermi-level density of states, states/eV per cell: 5.798
# Energy above the most stable polymorph in this dataset, eV per atom: 0.0000

***

# PBE ZnSi2Se, optimized geometry
data_ZnSi2Se
_symmetry_space_group_name_H-M 'I -4 2 d'
_symmetry_Int_Tables_number 122
_symmetry_space_group_name_Hall 'I -4 2bw'
_cell_length_a 5.647
_cell_length_b 5.647
_cell_length_c 11.341
_cell_angle_alpha 90.00
_cell_angle_beta 90.00
_cell_angle_gamma 90.00
loop_
_atom_site_label
_atom_site_fract_x
_atom_site_fract_y
_atom_site_fract_z
Zn1 0.000 0.000 0.000
Si1 0.228 0.250 0.125
Se1 0.000 0.000 0.500
# Size of the total moment, μB/cell: 0.0
# Fermi-level density of states, states/eV per cell: 0.000
# Energy above the most stable polymorph in this dataset, eV per atom: 0.2373

***

# PBE CoCuAsSe2, optimized geometry
data_CoCuAsSe2
_symmetry_space_group_name_H-M 'P 4/m m m'
_symmetry_Int_Tables_number 123
_symmetry_space_group_name_Hall '-P 4 2'
_cell_length_a 4.834
_cell_length_b 4.834
_cell_length_c 4.306
_cell_angle_alpha 90.00
_cell_angle_beta 90.00
_cell_angle_gamma 90.00
loop_
_atom_site_label
_atom_site_fract_x
_atom_site_fract_y
_atom_site_fract_z
Co1 0.000 0.000 0.000
Cu1 0.500 0.500 0.500
As1 0.000 0.000 0.500
Se1 0.000 0.500 0.000
# Size of the total moment, μB/cell: 0.0
# Fermi-level density of states, states/eV per cell: 5.477
# Energy above the most stable polymorph in this dataset, eV per atom: 0.0000